Compound: Sr2FeSnO6
Source: the Alexandria database
Functional: PBE+U
Structure: optimized geometry

Lattice parameters (Å, degrees): 4.031 4.031 7.993 90.00 90.00 90.00
Space group P4/mmm (No. 123)
Asymmetric unit:
Sr  0.000  0.000  0.234 (multiplicity 2)
Fe  0.500  0.500  0.000 (multiplicity 1)
Sn  0.500  0.500  0.500 (multiplicity 1)
O  0.000  0.500  0.000 (multiplicity 2)
O  0.000  0.500  0.500 (multiplicity 2)
O  0.500  0.500  0.240 (multiplicity 2)

Calculated values
* excess energy over the best structure of this formula in the dataset: 0 meV per atom
* E: -63.0 eV per cell
* density of states at the Fermi level: 1.76 states/eV/cell